1.
Below is an optimized crystal structure of DyTeH, with properties calculated at the PBE level.

The value obtained for the mass density is 7.8 Mg/m³. As for the raw total energy: -25.2 eV/cell.

The space group is I4mm (No. 107) and the conventional cell measures 3.429, 3.429 and 10.560 Å, with angles of 90.00, 90.00 and 90.00 degrees. Symmetry generates all atoms from Dy at (0.000, 0.000, 0.000), Te at (0.000, 0.000, 0.296) and H at (0.000, 0.000, 0.564).

=====

2.
Below is an optimized crystal structure of RbAl2As2, with properties calculated at the PBE level.

The value obtained for the mass density is 3.8 Mg/m³. As for the raw total energy: -19.1 eV/cell.

The space group is P4/mmm (No. 123) and the conventional cell measures 3.913, 3.913 and 8.227 Å, with angles of 90.00, 90.00 and 90.00 degrees. Symmetry generates all atoms from Rb at (0.000, 0.000, 0.000), Al at (0.000, 0.500, 0.500) and As at (0.500, 0.500, 0.285).

=====

3.
Below is an optimized crystal structure of Er6BeSe3S2, with properties calculated at the PBE level.

As for the energy relative to the elements, uncorrected: -1.549 eV/atom. The value obtained for the mass density is 8.2 Mg/m³.

The space group is C2/m (No. 12) and the conventional cell measures 6.857, 11.865 and 6.958 Å, with angles of 90.00, 109.09 and 90.00 degrees. Symmetry generates all atoms from Er at (0.236, 0.160, 0.228), Er at (0.244, 0.000, 0.771), Be at (0.000, 0.000, 0.000), Se at (0.000, 0.172, 0.500), Se at (0.000, 0.500, 0.500) and S at (0.000, 0.334, 0.000).

=====

4.
Below is an optimized crystal structure of Rb2CuW, with properties calculated at the PBE level.

The energy above the most stable polymorph in this dataset comes out at 0.2553 eV per atom. The value obtained for the mass density is 4.4 Mg/m³.

The space group is Fm-3m (No. 225) and the conventional cell measures 8.559, 8.559 and 8.559 Å, with angles of 90.00, 90.00 and 90.00 degrees. Symmetry generates all atoms from Rb at (0.250, 0.250, 0.250), Cu at (0.000, 0.000, 0.000) and W at (0.000, 0.000, 0.500).

=====

5.
Below is an optimized crystal structure of ZnFeRe, with properties calculated at the PBE level.

The energy above the most stable polymorph in this dataset comes out at 0.0381 eV per atom. The value obtained for the mass density is 12.6 Mg/m³.

The space group is P3m1 (No. 156) and the conventional cell measures 2.6990, 2.6990 and 6.4275 Å, with angles of 90.00, 90.00 and 120.00 degrees. Symmetry generates all atoms from Zn at (0.0000, 0.0000, 0.0000), Fe at (0.6667, 0.3333, 0.3271) and Re at (0.3333, 0.6667, 0.6336).

=====

6.
Below is an optimized crystal structure of Ga2RuCl2, with properties calculated at the PBE level.

The energy above the most stable polymorph in this dataset comes out at 0.2711 eV per atom. As for the energy relative to the elements, uncorrected: 0.375 eV/atom. The value obtained for the mass density is 5.0 Mg/m³.

The space group is I4/mmm (No. 139) and the conventional cell measures 3.577, 3.577 and 16.325 Å, with angles of 90.00, 90.00 and 90.00 degrees. Symmetry generates all atoms from Ga at (0.000, 0.500, 0.250), Ru at (0.000, 0.000, 0.000) and Cl at (0.000, 0.000, 0.407).

=====

7.
Below is an optimized crystal structure of Li2In3Ag3, with properties calculated at the PBE level.

The energy above the most stable polymorph in this dataset comes out at 0.0070 eV per atom. The value obtained for the mass density is 7.0 Mg/m³.

The space group is Cmcm (No. 63) and the conventional cell measures 4.583, 9.988 and 14.053 Å, with angles of 90.00, 90.00 and 90.00 degrees. Symmetry generates all atoms from Li at (0.000, 0.240, 0.104), In at (0.000, 0.076, 0.594), In at (0.000, 0.279, 0.750), Ag at (0.000, 0.398, 0.568) and Ag at (0.000, 0.429, 0.250).

=====

8.
Below is an optimized crystal structure of PaHPd, with properties calculated at the PBE level.

The energy above the most stable polymorph in this dataset comes out at 0.1738 eV per atom. The value obtained for the mass density is 11.8 Mg/m³.

The space group is I4mm (No. 107) and the conventional cell measures 3.164, 3.164 and 9.524 Å, with angles of 90.00, 90.00 and 90.00 degrees. Symmetry generates all atoms from Pa at (0.000, 0.000, 0.000), H at (0.000, 0.000, 0.419) and Pd at (0.000, 0.000, 0.702).

=====

9.
Below is an optimized crystal structure of PmH2Cl4, with properties calculated at the PBE level.

The value obtained for the mass density is 3.2 Mg/m³. As for the raw total energy: -50.0 eV/cell.

The space group is Cmmm (No. 65) and the conventional cell measures 5.569, 14.502 and 3.757 Å, with angles of 90.00, 90.00 and 90.00 degrees. Symmetry generates all atoms from Pm at (0.000, 0.000, 0.000), H at (0.000, 0.395, 0.500), Cl at (0.000, 0.132, 0.500) and Cl at (0.000, 0.393, 0.000).